VASP calculation (PBE with a Hubbard U) on Cs2MnSiF6 after structural relaxation.

The structure belongs to space group I4/mmm (No. 139); the cell edges are 6.2652, 6.2652 and 8.9058 Å and the angles 90.00°, 90.00° and 90.00°. The inequivalent atoms are Cs at (0.0000, 0.5000, 0.2500), Mn at (0.0000, 0.0000, 0.0000), Si at (0.0000, 0.0000, 0.5000), F at (0.0000, 0.0000, 0.2452) and F at (0.2480, 0.2480, 0.0000).

The total magnetic moment is 5.000 μB/f.u. The value obtained for the density of states at the Fermi level is 0.00 states/eV/f.u. The value obtained for the raw total energy is -5.0414 eV per atom.